# BaLaAl2 (PBE, optimized geometry)
data_BaLaAl2
_chemical_formula_sum 'Ba2 La2 Al4'
_symmetry_space_group_name_H-M 'I m m 2'
_symmetry_Int_Tables_number 44
_cell_length_a 4.2046
_cell_length_b 5.2475
_cell_length_c 10.8371
_cell_angle_alpha 90.00
_cell_angle_beta 90.00
_cell_angle_gamma 90.00
loop_
_symmetry_equiv_pos_as_xyz
'x,y,z'
'-x,-y,z'
'-x,y,z'
'x,-y,z'
'x+1/2,y+1/2,z+1/2'
'-x+1/2,-y+1/2,z+1/2'
'-x+1/2,y+1/2,z+1/2'
'x+1/2,-y+1/2,z+1/2'
loop_
_atom_site_label
_atom_site_type_symbol
_atom_site_fract_x
_atom_site_fract_y
_atom_site_fract_z
_atom_site_occupancy
Ba1 Ba 0.0000 0.0000 0.0000 1
La1 La 0.0000 0.5000 0.7976 1
Al1 Al 0.0000 0.0000 0.5822 1
Al2 Al 0.0000 0.5000 0.2294 1
# Offset from the most stable computed form, meV per atom: 13.3

# NdSm2Tc2C4 (PBE, optimized geometry)
data_NdSm2Tc2C4
_chemical_formula_sum 'Nd2 Sm4 Tc4 C8'
_symmetry_space_group_name_H-M 'C 1 2/m 1'
_symmetry_Int_Tables_number 12
_cell_length_a 13.7347
_cell_length_b 3.5670
_cell_length_c 6.1971
_cell_angle_alpha 90.00
_cell_angle_beta 109.64
_cell_angle_gamma 90.00
loop_
_symmetry_equiv_pos_as_xyz
'x,y,z'
'-x,-y,-z'
'-x,y,-z'
'x,-y,z'
'x+1/2,y+1/2,z'
'-x+1/2,-y+1/2,-z'
'-x+1/2,y+1/2,-z'
'x+1/2,-y+1/2,z'
loop_
_atom_site_label
_atom_site_type_symbol
_atom_site_fract_x
_atom_site_fract_y
_atom_site_fract_z
_atom_site_occupancy
Nd1 Nd 0.0000 0.0000 0.0000 1
Sm1 Sm 0.1380 0.0000 0.5353 1
Tc1 Tc 0.1812 0.5000 0.9929 1
C1 C 0.0493 0.5000 0.7507 1
C2 C 0.2232 0.0000 0.2098 1
# Calculated total energy, eV/atom: -7.9417

# Tb4Y3Mg (PBE, optimized geometry)
data_Tb4Y3Mg
_chemical_formula_sum 'Tb8 Y6 Mg2'
_symmetry_space_group_name_H-M 'C 1 2/m 1'
_symmetry_Int_Tables_number 12
_cell_length_a 25.5687
_cell_length_b 3.3956
_cell_length_c 5.8881
_cell_angle_alpha 90.00
_cell_angle_beta 95.75
_cell_angle_gamma 90.00
loop_
_symmetry_equiv_pos_as_xyz
'x,y,z'
'-x,-y,-z'
'-x,y,-z'
'x,-y,z'
'x+1/2,y+1/2,z'
'-x+1/2,-y+1/2,-z'
'-x+1/2,y+1/2,-z'
'x+1/2,-y+1/2,z'
loop_
_atom_site_label
_atom_site_type_symbol
_atom_site_fract_x
_atom_site_fract_y
_atom_site_fract_z
_atom_site_occupancy
Tb1 Tb 0.1018 0.0000 0.1957 1
Tb2 Tb 0.2180 0.5000 0.2377 1
Y1 Y 0.0000 0.0000 0.5000 1
Y2 Y 0.1490 0.0000 0.7152 1
Mg1 Mg 0.0000 0.5000 0.0000 1
# Offset from the most stable computed form, meV per atom: 0.0

# PdCl2F (PBE, optimized geometry)
data_PdCl2F
_chemical_formula_sum 'Pd4 Cl8 F4'
_symmetry_space_group_name_H-M 'I -4 2 d'
_symmetry_Int_Tables_number 122
_symmetry_space_group_name_Hall 'I -4 2bw'
_cell_length_a 5.8216
_cell_length_b 5.8216
_cell_length_c 11.4276
_cell_angle_alpha 90.00
_cell_angle_beta 90.00
_cell_angle_gamma 90.00
loop_
_atom_site_label
_atom_site_type_symbol
_atom_site_fract_x
_atom_site_fract_y
_atom_site_fract_z
_atom_site_occupancy
Pd1 Pd 0.0000 0.0000 0.0000 1
Cl1 Cl 0.1889 0.2500 0.1250 1
F1 F 0.0000 0.0000 0.5000 1
# Offset from the most stable computed form, meV per atom: 638.8
# ΔE_f (raw), eV per atom: -0.056

# FeSb2Os (PBE, optimized geometry)
data_FeSb2Os
_chemical_formula_sum 'Fe4 Sb8 Os4'
_symmetry_space_group_name_H-M 'F -4 3 m'
_symmetry_Int_Tables_number 216
_symmetry_space_group_name_Hall 'F -4 2 3'
_cell_length_a 6.6923
_cell_length_b 6.6923
_cell_length_c 6.6923
_cell_angle_alpha 90.00
_cell_angle_beta 90.00
_cell_angle_gamma 90.00
loop_
_atom_site_label
_atom_site_type_symbol
_atom_site_fract_x
_atom_site_fract_y
_atom_site_fract_z
_atom_site_occupancy
Fe1 Fe 0.0000 0.0000 0.0000 1
Sb1 Sb 0.0000 0.0000 0.5000 1
Sb2 Sb 0.2500 0.2500 0.2500 1
Os1 Os 0.2500 0.2500 0.7500 1
# Offset from the most stable computed form, meV per atom: 582.1
# ΔE_f (raw), eV per atom: 0.865

# Ti5Ir2Pd2Rh (PBE, optimized geometry)
data_Ti5Ir2Pd2Rh
_chemical_formula_sum 'Ti10 Ir4 Pd4 Rh2'
_symmetry_space_group_name_H-M 'P 4/m b m'
_symmetry_Int_Tables_number 127
_symmetry_space_group_name_Hall '-P 4 2ab'
_cell_length_a 10.6712
_cell_length_b 10.6712
_cell_length_c 2.9414
_cell_angle_alpha 90.00
_cell_angle_beta 90.00
_cell_angle_gamma 90.00
loop_
_atom_site_label
_atom_site_type_symbol
_atom_site_fract_x
_atom_site_fract_y
_atom_site_fract_z
_atom_site_occupancy
Ti1 Ti 0.0000 0.5000 0.0000 1
Ti2 Ti 0.1290 0.1604 0.0000 1
Ir1 Ir 0.1441 0.3559 0.5000 1
Pd1 Pd 0.1544 0.6544 0.5000 1
Rh1 Rh 0.0000 0.0000 0.5000 1
# Calculated total energy, eV/atom: -7.9905

# Nd8BiTe4Se3 (PBE, optimized geometry)
data_Nd8BiTe4Se3
_chemical_formula_sum 'Nd24 Bi3 Te12 Se9'
_symmetry_space_group_name_H-M 'R -3 m'
_symmetry_Int_Tables_number 166
_symmetry_space_group_name_Hall '-R 3 2"'
_cell_length_a 8.8034
_cell_length_b 8.8034
_cell_length_c 21.8565
_cell_angle_alpha 90.00
_cell_angle_beta 90.00
_cell_angle_gamma 120.00
loop_
_atom_site_label
_atom_site_type_symbol
_atom_site_fract_x
_atom_site_fract_y
_atom_site_fract_z
_atom_site_occupancy
Nd1 Nd 0.0000 0.0000 0.2395 1
Nd2 Nd 0.0162 0.5081 0.7574 1
Bi1 Bi 0.0000 0.0000 0.5000 1
Te1 Te 0.0000 0.0000 0.0000 1
Te2 Te 0.0000 0.5000 0.0000 1
Se1 Se 0.0000 0.5000 0.5000 1
# ΔE_f (raw), eV per atom: -1.521

# Tb4Nd3Ho4 (PBE, optimized geometry)
data_Tb4Nd3Ho4
_chemical_formula_sum 'Tb8 Nd6 Ho8'
_symmetry_space_group_name_H-M 'I m m m'
_symmetry_Int_Tables_number 71
_symmetry_space_group_name_Hall '-I 2 2'
_cell_length_a 3.5443
_cell_length_b 11.2729
_cell_length_c 18.4810
_cell_angle_alpha 90.00
_cell_angle_beta 90.00
_cell_angle_gamma 90.00
loop_
_atom_site_label
_atom_site_type_symbol
_atom_site_fract_x
_atom_site_fract_y
_atom_site_fract_z
_atom_site_occupancy
Tb1 Tb 0.0000 0.0000 0.2171 1
Tb2 Tb 0.0000 0.2109 0.5000 1
Nd1 Nd 0.0000 0.0000 0.0000 1
Nd2 Nd 0.0000 0.5000 0.1091 1
Ho1 Ho 0.0000 0.2556 0.3280 1
# Offset from the most stable computed form, meV per atom: 11.7

# HfAg3S (PBE, optimized geometry)
data_HfAg3S
_chemical_formula_sum 'Hf1 Ag3 S1'
_symmetry_space_group_name_H-M 'P m -3 m'
_symmetry_Int_Tables_number 221
_symmetry_space_group_name_Hall '-P 4 2 3'
_cell_length_a 5.2476
_cell_length_b 5.2476
_cell_length_c 5.2476
_cell_angle_alpha 90.00
_cell_angle_beta 90.00
_cell_angle_gamma 90.00
loop_
_atom_site_label
_atom_site_type_symbol
_atom_site_fract_x
_atom_site_fract_y
_atom_site_fract_z
_atom_site_occupancy
Hf1 Hf 0.0000 0.0000 0.0000 1
Ag1 Ag 0.0000 0.0000 0.5000 1
S1 S 0.5000 0.5000 0.5000 1
# Offset from the most stable computed form, meV per atom: 686.6
# ΔE_f (raw), eV per atom: 1.441

# SrMg2SiIr (PBE, optimized geometry)
data_SrMg2SiIr
_chemical_formula_sum 'Sr1 Mg2 Si1 Ir1'
_symmetry_space_group_name_H-M 'P 4/m m m'
_symmetry_Int_Tables_number 123
_symmetry_space_group_name_Hall '-P 4 2'
_cell_length_a 5.0676
_cell_length_b 5.0676
_cell_length_c 4.6337
_cell_angle_alpha 90.00
_cell_angle_beta 90.00
_cell_angle_gamma 90.00
loop_
_atom_site_label
_atom_site_type_symbol
_atom_site_fract_x
_atom_site_fract_y
_atom_site_fract_z
_atom_site_occupancy
Sr1 Sr 0.0000 0.0000 0.0000 1
Mg1 Mg 0.0000 0.5000 0.5000 1
Si1 Si 0.5000 0.5000 0.0000 1
Ir1 Ir 0.5000 0.5000 0.5000 1
# ΔE_f (raw), eV per atom: -0.325

# SiW7 (PBE, optimized geometry)
data_SiW7
_chemical_formula_sum 'Si4 W28'
_symmetry_space_group_name_H-M 'F m -3 m'
_symmetry_Int_Tables_number 225
_symmetry_space_group_name_Hall '-F 4 2 3'
_cell_length_a 7.9952
_cell_length_b 7.9952
_cell_length_c 7.9952
_cell_angle_alpha 90.00
_cell_angle_beta 90.00
_cell_angle_gamma 90.00
loop_
_atom_site_label
_atom_site_type_symbol
_atom_site_fract_x
_atom_site_fract_y
_atom_site_fract_z
_atom_site_occupancy
Si1 Si 0.0000 0.0000 0.0000 1
W1 W 0.0000 0.0000 0.5000 1
W2 W 0.0000 0.2500 0.2500 1
# ΔE_f (raw), eV per atom: 0.338

# LiCa2Au (PBE, optimized geometry)
data_LiCa2Au
_chemical_formula_sum 'Li3 Ca6 Au3'
_symmetry_space_group_name_H-M 'R -3 m'
_symmetry_Int_Tables_number 166
_symmetry_space_group_name_Hall '-R 3 2"'
_cell_length_a 4.1887
_cell_length_b 4.1887
_cell_length_c 25.6514
_cell_angle_alpha 90.00
_cell_angle_beta 90.00
_cell_angle_gamma 120.00
loop_
_atom_site_label
_atom_site_type_symbol
_atom_site_fract_x
_atom_site_fract_y
_atom_site_fract_z
_atom_site_occupancy
Li1 Li 0.0000 0.0000 0.0000 1
Ca1 Ca 0.0000 0.0000 0.2327 1
Au1 Au 0.0000 0.0000 0.5000 1
# Calculated total energy, eV/atom: -2.6136

# Ce2CoOs (PBE, optimized geometry)
data_Ce2CoOs
_chemical_formula_sum 'Ce2 Co1 Os1'
_symmetry_space_group_name_H-M 'P 4/m m m'
_symmetry_Int_Tables_number 123
_symmetry_space_group_name_Hall '-P 4 2'
_cell_length_a 3.3446
_cell_length_b 3.3446
_cell_length_c 7.0612
_cell_angle_alpha 90.00
_cell_angle_beta 90.00
_cell_angle_gamma 90.00
loop_
_atom_site_label
_atom_site_type_symbol
_atom_site_fract_x
_atom_site_fract_y
_atom_site_fract_z
_atom_site_occupancy
Ce1 Ce 0.0000 0.0000 0.2412 1
Co1 Co 0.5000 0.5000 0.0000 1
Os1 Os 0.5000 0.5000 0.5000 1
# Calculated total energy, eV/atom: -7.6448